Below is a relaxed BaTc2F11 crystal, with properties calculated at the PBE-GGA level.

Geometry as extended XYZ:
```
28
Lattice="8.3053 0.0000 4.3290 3.6708 7.2643 3.0889 0.7645 0.3518 8.6648" Properties=species:S:1:pos:R:3 pbc="T T T"
Ba 9.5555 5.7120 12.0620
Ba 3.1852 1.9040 4.0207
Tc 8.1040 4.8709 7.8547
Tc 4.6366 2.7452 8.2279
Tc 8.2298 1.4146 11.4657
Tc 4.5108 6.2014 4.6170
F 8.2060 5.0875 9.7748
F 4.5347 2.5285 6.3078
F 3.5975 4.3729 8.1058
F 11.2054 7.0512 13.7727
F 9.1431 3.2432 7.9768
F 1.5352 0.5649 2.3100
F 6.9077 6.3366 12.2656
F 5.8329 1.2795 3.8171
F 6.3703 3.8080 8.0413
F 0.0000 0.0000 0.0000
F 9.6787 5.8358 7.6857
F 3.0619 1.7803 8.3969
F 7.4665 2.3795 10.0780
F 5.2741 5.2365 6.0046
F 7.1026 6.5218 7.7290
F 5.6380 1.0942 8.3537
F 4.7006 2.9391 10.1521
F 1.5386 1.2207 6.0871
F 8.0400 4.6770 5.9305
F 11.2021 6.3953 9.9955
F 3.8341 4.5505 3.8680
F 8.9065 3.0656 12.2146
```

Results
V in Å³/atom: 17.7
Total magnetization in μB per formula unit: 5.0
Crystal system: orthorhombic
VASP energy in eV for the cell shown: -156.512
E_form (uncorrected) in eV/atom: -2.501